1.
Density functional theory data (PBE) for ZrAlNi6 after structural relaxation.

Structure (POSCAR):
```
ZrAlNi6
1.0
3.496 0.000 0.000
0.000 3.496 0.000
0.000 0.000 8.896
Zr Al Ni
1 1 6
direct
0.000 0.000 0.000
0.000 0.000 0.500
0.500 0.500 0.129
0.500 0.500 0.871
0.000 0.500 0.309
0.500 0.000 0.309
0.000 0.500 0.691
0.500 0.000 0.691
```

Space-group type: P4/mmm
Density: 7.184 g/cm3
ΔE to the lowest computed polymorph: 293 meV/atom
Electronic total energy: -6.004 eV per atom



2.
Density functional theory data (PBE) for ThAl2Ni2Ir after structural relaxation.

Structure (POSCAR):
```
ThAl2Ni2Ir
1.0
-2.168 -1.938 -3.621
1.996 -4.076 0.986
-4.159 -1.270 3.169
Th Al Ni Ir
1 2 2 1
direct
0.000 0.000 0.500
0.500 0.000 0.000
0.000 0.500 0.000
0.500 0.500 0.733
0.500 0.500 0.267
0.000 0.000 0.000
```

Space-group type: P4/mmm
Density: 8.524 g/cm3
Electronic total energy: -6.125 eV per atom



What is the density in the second record?
8.524 g/cm3